No. 1
Material: Hg2PAu
Method: DFT, GGA-PBE
State: relaxed

Structure (POSCAR):
```
Hg2PAu
1.0
7.231 -1.698 0.000
7.231 1.698 0.000
-0.825 0.000 3.746
Hg P Au
2 1 1
direct
0.189 0.189 0.207
0.811 0.811 0.793
0.000 0.000 0.000
0.500 0.500 0.500
```

No. 2
Material: Hg2PAu
Method: DFT, GGA-PBE
State: relaxed

Structure (POSCAR):
```
Hg2PAu
1.0
-2.983 2.983 6.518
2.983 -2.983 6.518
2.983 2.983 -6.518
Hg P Au
4 2 2
direct
0.068 0.625 0.943
0.375 0.318 0.443
0.682 0.125 0.057
0.875 0.932 0.557
0.000 0.000 0.000
0.750 0.250 0.500
0.250 0.750 0.500
0.500 0.500 0.000
```

No. 3
Material: Hg2PAu
Method: DFT, GGA-PBE
State: relaxed

Structure (POSCAR):
```
Hg2PAu
1.0
1.991 1.149 6.652
-1.991 1.149 6.652
0.000 -2.299 6.652
Hg P Au
2 1 1
direct
0.000 0.000 0.000
0.235 0.235 0.235
0.759 0.759 0.759
0.471 0.471 0.471
```

No. 4
Material: Hg2PAu
Method: DFT, GGA-PBE
State: relaxed

Structure (POSCAR):
```
Hg2PAu
1.0
-1.638 2.807 4.563
1.638 -2.807 4.563
1.638 2.807 -4.563
Hg P Au
2 1 1
direct
0.242 0.242 0.000
0.758 0.758 0.000
0.000 0.500 0.500
0.500 0.000 0.500
```

no.,formation energy from the elements (meV per atom)
1,165
2,321
3,186
4,444